# 1
# PmI3Cl | Alexandria via LeMat-Bulk | PBE-GGA | optimized geometry
data_PmI3Cl
_cell_length_a 11.629
_cell_length_b 9.672
_cell_length_c 8.732
_cell_angle_alpha 90.00
_cell_angle_beta 121.36
_cell_angle_gamma 90.00
_symmetry_space_group_name_H-M 'C 1 2/m 1'
_symmetry_Int_Tables_number 12
loop_
_symmetry_equiv_pos_as_xyz
'x,y,z'
'-x,-y,-z'
'-x,y,-z'
'x,-y,z'
'x+1/2,y+1/2,z'
'-x+1/2,-y+1/2,-z'
'-x+1/2,y+1/2,-z'
'x+1/2,-y+1/2,z'
loop_
_atom_site_label
_atom_site_type_symbol
_atom_site_fract_x
_atom_site_fract_y
_atom_site_fract_z
_atom_site_occupancy
Pm1 Pm 0.197 0.000 0.040 1
I1 I 0.040 0.500 0.374 1
I2 I 0.230 0.306 0.193 1
Cl1 Cl 0.060 0.000 0.227 1
# Energy relative to the elements, uncorrected   -1.284 eV per atom

# 2
# PrPaNi3 | Alexandria via LeMat-Bulk | PBE-GGA | optimized geometry
data_PrPaNi3
_cell_length_a 3.723
_cell_length_b 24.974
_cell_length_c 4.068
_cell_angle_alpha 90.00
_cell_angle_beta 90.00
_cell_angle_gamma 90.00
_symmetry_space_group_name_H-M 'C m c m'
_symmetry_Int_Tables_number 63
_symmetry_space_group_name_Hall '-C 2c 2'
loop_
_atom_site_label
_atom_site_type_symbol
_atom_site_fract_x
_atom_site_fract_y
_atom_site_fract_z
_atom_site_occupancy
Pr1 Pr 0.000 0.071 0.250 1
Pa1 Pa 0.000 0.200 0.750 1
Ni1 Ni 0.000 0.313 0.750 1
Ni2 Ni 0.000 0.376 0.250 1
Ni3 Ni 0.000 0.474 0.250 1
# DFT formation energy   -0.33 eV per atom
# N(E_F)   20.6 states/eV per cell

# 3
# AuC2 | Alexandria via LeMat-Bulk | PBE-GGA | optimized geometry
data_AuC2
_cell_length_a 5.000
_cell_length_b 7.852
_cell_length_c 2.556
_cell_angle_alpha 90.00
_cell_angle_beta 104.72
_cell_angle_gamma 90.00
_symmetry_space_group_name_H-M 'C 1 2/m 1'
_symmetry_Int_Tables_number 12
loop_
_symmetry_equiv_pos_as_xyz
'x,y,z'
'-x,-y,-z'
'-x,y,-z'
'x,-y,z'
'x+1/2,y+1/2,z'
'-x+1/2,-y+1/2,-z'
'-x+1/2,y+1/2,-z'
'x+1/2,-y+1/2,z'
loop_
_atom_site_label
_atom_site_type_symbol
_atom_site_fract_x
_atom_site_fract_y
_atom_site_fract_z
_atom_site_occupancy
Au1 Au 0.000 0.000 0.000 1
C1 C 0.062 0.500 0.781 1
# DFT formation energy   0.85 eV per atom
# N(E_F)   3.1 states/eV per cell

# 4
# MnIn3Ir | Alexandria via LeMat-Bulk | PBE-GGA | optimized geometry
data_MnIn3Ir
_cell_length_a 5.157
_cell_length_b 5.157
_cell_length_c 5.157
_cell_angle_alpha 90.00
_cell_angle_beta 90.00
_cell_angle_gamma 90.00
_symmetry_space_group_name_H-M 'P m -3 m'
_symmetry_Int_Tables_number 221
_symmetry_space_group_name_Hall '-P 4 2 3'
loop_
_atom_site_label
_atom_site_type_symbol
_atom_site_fract_x
_atom_site_fract_y
_atom_site_fract_z
_atom_site_occupancy
Mn1 Mn 0.000 0.000 0.000 1
In1 In 0.000 0.500 0.500 1
Ir1 Ir 0.500 0.500 0.500 1
# DFT formation energy   0.40 eV per atom
# N(E_F)   4.1 states/eV per cell

# 5
# CoSi3Tc | Alexandria via LeMat-Bulk | PBE-GGA | optimized geometry
data_CoSi3Tc
_cell_length_a 4.261
_cell_length_b 4.261
_cell_length_c 4.261
_cell_angle_alpha 90.00
_cell_angle_beta 90.00
_cell_angle_gamma 90.00
_symmetry_space_group_name_H-M 'P m -3 m'
_symmetry_Int_Tables_number 221
_symmetry_space_group_name_Hall '-P 4 2 3'
loop_
_atom_site_label
_atom_site_type_symbol
_atom_site_fract_x
_atom_site_fract_y
_atom_site_fract_z
_atom_site_occupancy
Co1 Co 0.000 0.000 0.000 1
Si1 Si 0.000 0.000 0.500 1
Tc1 Tc 0.500 0.500 0.500 1
# Energy relative to the elements, uncorrected   0.708 eV per atom
# N(E_F)   4.6 states/eV per cell

# 6
# RbYIn2P | Alexandria via LeMat-Bulk | PBE-GGA | optimized geometry
data_RbYIn2P
_cell_length_a 5.784
_cell_length_b 5.784
_cell_length_c 6.171
_cell_angle_alpha 90.00
_cell_angle_beta 90.00
_cell_angle_gamma 90.00
_symmetry_space_group_name_H-M 'P 4/m m m'
_symmetry_Int_Tables_number 123
_symmetry_space_group_name_Hall '-P 4 2'
loop_
_atom_site_label
_atom_site_type_symbol
_atom_site_fract_x
_atom_site_fract_y
_atom_site_fract_z
_atom_site_occupancy
Rb1 Rb 0.000 0.000 0.000 1
Y1 Y 0.000 0.000 0.500 1
In1 In 0.000 0.500 0.000 1
P1 P 0.500 0.500 0.500 1
# DFT formation energy   1.56 eV per atom
# N(E_F)   5.4 states/eV per cell

# 7
# Ba3Hg8Pb3 | Alexandria via LeMat-Bulk | PBE-GGA | optimized geometry
data_Ba3Hg8Pb3
_cell_length_a 5.173
_cell_length_b 10.848
_cell_length_c 15.564
_cell_angle_alpha 90.00
_cell_angle_beta 90.00
_cell_angle_gamma 90.00
_symmetry_space_group_name_H-M 'I m m m'
_symmetry_Int_Tables_number 71
_symmetry_space_group_name_Hall '-I 2 2'
loop_
_atom_site_label
_atom_site_type_symbol
_atom_site_fract_x
_atom_site_fract_y
_atom_site_fract_z
_atom_site_occupancy
Ba1 Ba 0.000 0.000 0.000 1
Ba2 Ba 0.000 0.000 0.300 1
Hg1 Hg 0.000 0.278 0.146 1
Hg2 Hg 0.000 0.366 0.337 1
Pb1 Pb 0.000 0.208 0.500 1
Pb2 Pb 0.000 0.500 0.000 1
# DFT formation energy   -0.37 eV per atom
# N(E_F)   17.2 states/eV per cell

# 8
# ReAsIr2 | Alexandria via LeMat-Bulk | PBE-GGA | optimized geometry
data_ReAsIr2
_cell_length_a 2.8311
_cell_length_b 2.8311
_cell_length_c 25.8161
_cell_angle_alpha 90.00
_cell_angle_beta 90.00
_cell_angle_gamma 120.00
_symmetry_space_group_name_H-M 'R -3 m'
_symmetry_Int_Tables_number 166
_symmetry_space_group_name_Hall '-R 3 2"'
loop_
_atom_site_label
_atom_site_type_symbol
_atom_site_fract_x
_atom_site_fract_y
_atom_site_fract_z
_atom_site_occupancy
Re1 Re 0.0000 0.0000 0.0000 1
As1 As 0.0000 0.0000 0.5000 1
Ir1 Ir 0.0000 0.0000 0.2487 1
# DFT formation energy   0.07 eV per atom
# N(E_F)   11.9 states/eV per cell

| no. | spin magnetization (μB per cell) |
| --- | --- |
| 1 | 0.00 |
| 2 | 0.00 |
| 3 | 0.00 |
| 4 | 4.84 |
| 5 | 1.72 |
| 6 | 0.00 |
| 7 | 0.00 |
| 8 | 0.00 |